Entry 1:
Crystalline Rb2NaZrBr6 at its relaxed geometry. Source: Alexandria, functional PBE-GGA.

Cell lengths 11.228, 11.228, 11.228 Å; angles 90.00, 90.00, 90.00 degrees
Space group Fm-3m (No. 225)
One atom of each set of equivalent atoms:
Rb 0.250 0.250 0.250 (multiplicity 8)
Na 0.000 0.000 0.000 (multiplicity 4)
Zr 0.000 0.000 0.500 (multiplicity 4)
Br 0.000 0.000 0.259 (multiplicity 24)

Calculated values
The calculation puts the excess energy over the best structure of this formula in the dataset at 2 meV/atom. As for the energy relative to the elements, uncorrected: -15.15 eV/f.u. The calculation puts the total energy at -147.94 eV for the cell shown.

---

Entry 2:
Crystalline Na6Sn2Hg at its relaxed geometry. Source: Alexandria, functional PBE-GGA.

Cell lengths 17.044, 7.499, 5.195 Å; angles 90.00, 107.58, 90.00 degrees
Space group C2/m (No. 12)
One atom of each set of equivalent atoms:
Na 0.000 0.230 0.000 (multiplicity 4)
Na 0.176 0.248 0.677 (multiplicity 8)
Sn 0.162 0.000 0.163 (multiplicity 4)
Hg 0.000 0.500 0.500 (multiplicity 2)

Calculated values
The calculation puts the excess energy over the best structure of this formula in the dataset at 154 meV/atom. The formation energy comes out at -0.23 eV per formula unit. The calculation puts the total energy at -32.91 eV for the cell shown.